First-principles (PBE-GGA) data for a relaxed KGaSn crystal, as listed in Alexandria.

The energy of formation comes out at -142 meV per atom. The value obtained for the total magnetic moment is 0.00 μB per formula unit.

The structure belongs to space group C2/m (No. 12); the cell edges are 12.247, 4.629 and 7.455 Å and the angles 90.00°, 102.14° and 90.00°. The asymmetric unit holds K at (0.117, 0.000, 0.319), Ga at (0.190, 0.000, 0.808) and Sn at (0.106, 0.500, 0.937).